Entry 1:
## CuAgGe (PBE)

Data for crystalline CuAgGe at its relaxed geometry.

Cell lengths 3.971, 3.971, 6.307 Å; angles 90.00, 90.00, 90.00 degrees
Atoms (fractional coordinates):
1 Cu 0.500 0.500 0.500
2 Ge 0.500 0.000 0.764
3 Cu 0.000 0.000 0.500
4 Ag 0.500 0.000 0.189
5 Ge 0.000 0.500 0.236
6 Ag 0.000 0.500 0.811

Results
For the energy above the most stable polymorph in this dataset, the calculation gives 0 meV/atom. The density of states at the Fermi level comes out at 0.39 states/eV per atom. Its mass density is 8.2 g/cm3. The uncorrected energy is -22.38 eV per cell. The value obtained for the energy of formation is 12 kJ/mol of atoms. Its magnetic moment is 0.0 μB/f.u.

Entry 2:
## CuAgGe2 (PBE)

Data for crystalline CuAgGe2 at its relaxed geometry.

Cell lengths 4.140, 4.140, 5.445 Å; angles 67.66, 67.66, 60.00 degrees
Atoms (fractional coordinates):
1 Ge 0.064 0.064 0.809
2 Ge 0.270 0.270 0.191
3 Ag 0.491 0.491 0.527
4 Cu 0.676 0.676 0.973

Results
For the energy above the most stable polymorph in this dataset, the calculation gives 0 meV/atom. The density of states at the Fermi level comes out at 0.35 states/eV per atom. Its mass density is 7.2 g/cm3. The uncorrected energy is -15.41 eV per cell. The value obtained for the energy of formation is 19 kJ/mol of atoms. Its magnetic moment is 0.0 μB/f.u.

Entry 3:
## CuAg3Ge (PBE)

Data for crystalline CuAg3Ge at its relaxed geometry.

Cell lengths 4.787, 4.787, 4.787 Å; angles 90.00, 90.00, 90.00 degrees
Atoms (fractional coordinates):
1 Ge 0.500 0.500 0.500
2 Ag 0.000 0.500 0.000
3 Ag 0.000 0.000 0.500
4 Cu 0.000 0.000 0.000
5 Ag 0.500 0.000 0.000

Results
For the energy above the most stable polymorph in this dataset, the calculation gives 0 meV/atom. The density of states at the Fermi level comes out at 0.35 states/eV per atom. Its mass density is 7.0 g/cm3. The uncorrected energy is -13.96 eV per cell. The value obtained for the energy of formation is 64 kJ/mol of atoms. Its magnetic moment is 0.0 μB/f.u.

Entry 4:
## CuAgGe (PBE)

Data for crystalline CuAgGe at its relaxed geometry.

Cell lengths 4.215, 4.215, 4.215 Å; angles 60.00, 60.00, 60.00 degrees
Atoms (fractional coordinates):
1 Cu 0.250 0.250 0.250
2 Ge 0.000 0.000 0.000
3 Ag 0.500 0.500 0.500

Results
For the energy above the most stable polymorph in this dataset, the calculation gives 70 meV/atom. The density of states at the Fermi level comes out at 0.91 states/eV per atom. Its mass density is 7.7 g/cm3. The uncorrected energy is -10.98 eV per cell. The value obtained for the energy of formation is 19 kJ/mol of atoms. Its magnetic moment is 0.0 μB/f.u.

Entry 5:
## Ho2Cu3AgGe4 (PBE)

Data for crystalline Ho2Cu3AgGe4 at its relaxed geometry.

Cell lengths 4.148, 4.148, 10.348 Å; angles 90.00, 90.00, 90.00 degrees
Atoms (fractional coordinates):
1 Cu 0.000 0.500 0.130
2 Ge 0.000 0.000 0.000
3 Ge 0.500 0.500 0.000
4 Ho 0.500 0.000 0.246
5 Ag 0.500 0.500 0.500
6 Ho 0.000 0.500 0.754
7 Ge 0.000 0.500 0.355
8 Cu 0.000 0.000 0.500
9 Cu 0.500 0.000 0.870
10 Ge 0.500 0.000 0.645

Results
The density of states at the Fermi level comes out at 0.34 states/eV per atom. Its mass density is 8.6 g/cm3. The uncorrected energy is -46.80 eV per cell. The value obtained for the energy of formation is -39 kJ/mol of atoms. Its magnetic moment is 0.0 μB/f.u.

Entry 6:
## KCuAg2Ge (PBE)

Data for crystalline KCuAg2Ge at its relaxed geometry.

Cell lengths 5.100, 5.100, 4.724 Å; angles 90.00, 90.00, 90.00 degrees
Atoms (fractional coordinates):
1 Ag 0.500 0.000 0.000
2 Ag 0.000 0.500 0.000
3 Cu 0.000 0.000 0.500
4 Ge 0.000 0.000 0.000
5 K 0.500 0.500 0.500

Results
The density of states at the Fermi level comes out at 0.13 states/eV per atom. Its mass density is 5.3 g/cm3. The uncorrected energy is -15.01 eV per cell. The value obtained for the energy of formation is 10 kJ/mol of atoms. Its magnetic moment is 0.0 μB/f.u.

Entry 7:
## La2Cu4AgGe3 (PBE)

Data for crystalline La2Cu4AgGe3 at its relaxed geometry.

Cell lengths 4.343, 4.343, 9.959 Å; angles 90.00, 90.00, 90.00 degrees
Atoms (fractional coordinates):
1 Ag 0.500 0.500 0.500
2 Cu 0.000 0.500 0.368
3 Ge 0.500 0.000 0.873
4 Ge 0.000 0.500 0.127
5 Ge 0.000 0.000 0.500
6 La 0.500 0.000 0.240
7 Cu 0.500 0.000 0.632
8 Cu 0.000 0.000 0.000
9 La 0.000 0.500 0.760
10 Cu 0.500 0.500 0.000

Results
The density of states at the Fermi level comes out at 0.43 states/eV per atom. Its mass density is 7.6 g/cm3. The uncorrected energy is -47.47 eV per cell. The value obtained for the energy of formation is -44 kJ/mol of atoms. Its magnetic moment is 0.0 μB/f.u.

Entry 8:
## Li2Cu5AgGe2 (PBE)

Data for crystalline Li2Cu5AgGe2 at its relaxed geometry.

Cell lengths 3.923, 8.599, 8.599 Å; angles 90.00, 90.00, 90.00 degrees
Atoms (fractional coordinates):
1 Ge 0.000 0.877 0.377
2 Ge 0.000 0.377 0.123
3 Li 0.000 0.175 0.325
4 Cu 0.500 0.795 0.936
5 Cu 0.500 0.936 0.205
6 Li 0.000 0.325 0.825
7 Ge 0.000 0.123 0.623
8 Ge 0.000 0.623 0.877
9 Li 0.000 0.825 0.675
10 Li 0.000 0.675 0.175
11 Cu 0.500 0.295 0.564
12 Cu 0.500 0.064 0.795
13 Ag 0.000 0.500 0.500
14 Cu 0.500 0.564 0.705
15 Ag 0.000 0.000 0.000
16 Cu 0.500 0.705 0.436
17 Cu 0.500 0.436 0.295
18 Cu 0.500 0.205 0.064
19 Cu 0.500 0.000 0.500
20 Cu 0.500 0.500 0.000

Results
The density of states at the Fermi level comes out at 0.37 states/eV per atom. Its mass density is 6.7 g/cm3. The uncorrected energy is -73.42 eV per cell. The value obtained for the energy of formation is -3 kJ/mol of atoms. Its magnetic moment is 0.0 μB/f.u.